Density functional theory data (PBE-GGA) for a relaxed AgGe3S crystal.

Computed properties:
* total DFT energy (no corrections): -17.791 eV per formula unit
* magnetic moment: 0.000 μB/atom
* energy relative to the lowest polymorph listed for this composition: 0 meV/atom
* SG: Pm-3m (221)
* E_form (uncorrected): 0.61 eV/atom
* mass density: 5.0 g cm⁻³

```
AgGe3S
1.0
4.9322 0.0000 0.0000
0.0000 4.9322 0.0000
0.0000 0.0000 4.9322
Ag Ge S
1 3 1
Direct
0.0000 0.0000 0.0000
0.0000 0.5000 0.5000
0.5000 0.0000 0.5000
0.5000 0.5000 0.0000
0.5000 0.5000 0.5000
```